1.
# ErGe2Pt | Alexandria via LeMat-Bulk | PBE-GGA | relaxed
data_ErGe2Pt
_cell_length_a 9.553
_cell_length_b 9.553
_cell_length_c 9.553
_cell_angle_alpha 153.83
_cell_angle_beta 125.50
_cell_angle_gamma 61.43
_symmetry_space_group_name_H-M 'P 1'
_symmetry_Int_Tables_number 1
_symmetry_space_group_name_Hall 'P 1'
loop_
_atom_site_label
_atom_site_type_symbol
_atom_site_fract_x
_atom_site_fract_y
_atom_site_fract_z
Er1 Er 0.201 0.201 0.000
Er2 Er 0.236 0.000 0.236
Er3 Er 0.764 0.000 0.764
Er4 Er 0.799 0.799 0.000
Ge1 Ge 0.074 0.574 0.500
Ge2 Ge 0.150 0.800 0.350
Ge3 Ge 0.426 0.426 0.000
Ge4 Ge 0.450 0.800 0.650
Ge5 Ge 0.550 0.200 0.350
Ge6 Ge 0.574 0.574 0.000
Ge7 Ge 0.850 0.200 0.650
Ge8 Ge 0.926 0.426 0.500
Pt1 Pt 0.102 0.352 0.750
Pt2 Pt 0.398 0.648 0.750
Pt3 Pt 0.602 0.352 0.250
Pt4 Pt 0.898 0.648 0.250
# N(E_F) (states/eV/atom): 0.33
# Total DFT energy (no corrections) (Ha/atom): -0.2134
# ΔE_f (eV per atom): -0.848
# Symmetry: Immm (71)

=====

2.
# Er4Ge8Pt | Alexandria via LeMat-Bulk | PBE-GGA | relaxed
data_Er4Ge8Pt
_cell_length_a 3.975
_cell_length_b 4.071
_cell_length_c 16.507
_cell_angle_alpha 90.00
_cell_angle_beta 90.00
_cell_angle_gamma 90.00
_symmetry_space_group_name_H-M 'P 1'
_symmetry_Int_Tables_number 1
_symmetry_space_group_name_Hall 'P 1'
loop_
_atom_site_label
_atom_site_type_symbol
_atom_site_fract_x
_atom_site_fract_y
_atom_site_fract_z
Er1 Er 0.000 0.000 0.000
Er2 Er 0.000 0.500 0.480
Er3 Er 0.500 0.000 0.788
Er4 Er 0.500 0.500 0.279
Ge1 Ge 0.000 0.000 0.324
Ge2 Ge 0.000 0.000 0.617
Ge3 Ge 0.000 0.500 0.137
Ge4 Ge 0.000 0.500 0.860
Ge5 Ge 0.500 0.000 0.142
Ge6 Ge 0.500 0.000 0.426
Ge7 Ge 0.500 0.500 0.615
Ge8 Ge 0.500 0.500 0.958
Pt1 Pt 0.000 0.500 0.712
# N(E_F) (states/eV/atom): 0.42
# Total DFT energy (no corrections) (Ha/atom): -0.1968
# ΔE_f (eV per atom): -0.645
# Symmetry: Pmm2 (25)

=====

3.
# ErGe2Pt3 | Alexandria via LeMat-Bulk | PBE-GGA | relaxed
data_ErGe2Pt3
_cell_length_a 8.575
_cell_length_b 8.575
_cell_length_c 10.120
_cell_angle_alpha 106.15
_cell_angle_beta 106.15
_cell_angle_gamma 26.92
_symmetry_space_group_name_H-M 'P 1'
_symmetry_Int_Tables_number 1
_symmetry_space_group_name_Hall 'P 1'
loop_
_atom_site_label
_atom_site_type_symbol
_atom_site_fract_x
_atom_site_fract_y
_atom_site_fract_z
Er1 Er 0.000 0.000 0.000
Er2 Er 0.153 0.153 0.688
Er3 Er 0.847 0.847 0.312
Ge1 Ge 0.198 0.198 0.130
Ge2 Ge 0.362 0.362 0.551
Ge3 Ge 0.458 0.458 0.221
Ge4 Ge 0.542 0.542 0.779
Ge5 Ge 0.638 0.638 0.449
Ge6 Ge 0.802 0.802 0.870
Pt1 Pt 0.039 0.039 0.329
Pt2 Pt 0.225 0.225 0.384
Pt3 Pt 0.324 0.324 0.046
Pt4 Pt 0.389 0.389 0.816
Pt5 Pt 0.500 0.500 0.500
Pt6 Pt 0.611 0.611 0.184
Pt7 Pt 0.676 0.676 0.954
Pt8 Pt 0.775 0.775 0.616
Pt9 Pt 0.961 0.961 0.671
# N(E_F) (states/eV/atom): 0.42
# Total DFT energy (no corrections) (Ha/atom): -0.2260
# ΔE_f (eV per atom): -0.831
# Symmetry: C2/m (12)

=====

4.
# ErGe2Pt | Alexandria via LeMat-Bulk | PBE-GGA | relaxed
data_ErGe2Pt
_cell_length_a 9.489
_cell_length_b 9.489
_cell_length_c 9.489
_cell_angle_alpha 20.36
_cell_angle_beta 20.36
_cell_angle_gamma 20.36
_symmetry_space_group_name_H-M 'P 1'
_symmetry_Int_Tables_number 1
_symmetry_space_group_name_Hall 'P 1'
loop_
_atom_site_label
_atom_site_type_symbol
_atom_site_fract_x
_atom_site_fract_y
_atom_site_fract_z
Er1 Er 0.000 0.000 0.000
Ge1 Ge 0.105 0.105 0.105
Ge2 Ge 0.895 0.895 0.895
Pt1 Pt 0.500 0.500 0.500
# N(E_F) (states/eV/atom): 0.71
# Total DFT energy (no corrections) (Ha/atom): -0.1848
# ΔE_f (eV per atom): -0.069
# Symmetry: R-3m (166)

=====

5.
# ErGe2Pt | Alexandria via LeMat-Bulk | PBE-GGA | relaxed
data_ErGe2Pt
_cell_length_a 4.238
_cell_length_b 4.238
_cell_length_c 4.143
_cell_angle_alpha 90.00
_cell_angle_beta 90.00
_cell_angle_gamma 90.00
_symmetry_space_group_name_H-M 'P 1'
_symmetry_Int_Tables_number 1
_symmetry_space_group_name_Hall 'P 1'
loop_
_atom_site_label
_atom_site_type_symbol
_atom_site_fract_x
_atom_site_fract_y
_atom_site_fract_z
Er1 Er 0.000 0.000 0.000
Ge1 Ge 0.000 0.500 0.500
Ge2 Ge 0.500 0.000 0.500
Pt1 Pt 0.500 0.500 0.000
# N(E_F) (states/eV/atom): 0.49
# Total DFT energy (no corrections) (Ha/atom): -0.2051
# ΔE_f (eV per atom): -0.622
# Symmetry: P4/mmm (123)

=====

6.
# ErGePt | Alexandria via LeMat-Bulk | PBE-GGA | relaxed
data_ErGePt
_cell_length_a 11.344
_cell_length_b 11.344
_cell_length_c 11.344
_cell_angle_alpha 157.79
_cell_angle_beta 45.42
_cell_angle_gamma 140.90
_symmetry_space_group_name_H-M 'P 1'
_symmetry_Int_Tables_number 1
_symmetry_space_group_name_Hall 'P 1'
loop_
_atom_site_label
_atom_site_type_symbol
_atom_site_fract_x
_atom_site_fract_y
_atom_site_fract_z
Er1 Er 0.000 0.000 0.000
Er2 Er 0.077 0.911 0.166
Er3 Er 0.329 0.997 0.332
Er4 Er 0.414 0.914 0.500
Er5 Er 0.665 0.997 0.668
Er6 Er 0.745 0.911 0.834
Ge1 Ge 0.197 0.295 0.902
Ge2 Ge 0.346 0.615 0.730
Ge3 Ge 0.394 0.295 0.098
Ge4 Ge 0.731 0.296 0.435
Ge5 Ge 0.860 0.296 0.565
Ge6 Ge 0.885 0.615 0.270
Pt1 Pt 0.020 0.621 0.399
Pt2 Pt 0.051 0.287 0.764
Pt3 Pt 0.223 0.621 0.601
Pt4 Pt 0.523 0.287 0.236
Pt5 Pt 0.552 0.625 0.927
Pt6 Pt 0.697 0.625 0.073
# N(E_F) (states/eV/atom): 0.31
# Total DFT energy (no corrections) (Ha/atom): -0.2286
# ΔE_f (eV per atom): -1.147
# Symmetry: Imm2 (44)

=====

7.
# ErGe4Pt12 | Alexandria via LeMat-Bulk | PBE-GGA | relaxed
data_ErGe4Pt12
_cell_length_a 7.414
_cell_length_b 7.414
_cell_length_c 7.414
_cell_angle_alpha 109.47
_cell_angle_beta 109.47
_cell_angle_gamma 109.47
_symmetry_space_group_name_H-M 'P 1'
_symmetry_Int_Tables_number 1
_symmetry_space_group_name_Hall 'P 1'
loop_
_atom_site_label
_atom_site_type_symbol
_atom_site_fract_x
_atom_site_fract_y
_atom_site_fract_z
Er1 Er 0.000 0.000 0.000
Ge1 Ge 0.000 0.000 0.500
Ge2 Ge 0.000 0.500 0.000
Ge3 Ge 0.500 0.000 0.000
Ge4 Ge 0.500 0.500 0.500
Pt1 Pt 0.156 0.344 0.500
Pt2 Pt 0.156 0.656 0.813
Pt3 Pt 0.187 0.844 0.344
Pt4 Pt 0.344 0.187 0.844
Pt5 Pt 0.344 0.500 0.156
Pt6 Pt 0.500 0.156 0.344
Pt7 Pt 0.500 0.844 0.656
Pt8 Pt 0.656 0.500 0.844
Pt9 Pt 0.656 0.813 0.156
Pt10 Pt 0.813 0.156 0.656
Pt11 Pt 0.844 0.344 0.187
Pt12 Pt 0.844 0.656 0.500
# N(E_F) (states/eV/atom): 0.26
# Total DFT energy (no corrections) (Ha/atom): -0.2143
# ΔE_f (eV per atom): -0.211
# Symmetry: Im-3 (204)

=====

8.
# ErGePt | Alexandria via LeMat-Bulk | PBE-GGA | relaxed
data_ErGePt
_cell_length_a 4.422
_cell_length_b 4.422
_cell_length_c 3.445
_cell_angle_alpha 90.00
_cell_angle_beta 90.00
_cell_angle_gamma 120.00
_symmetry_space_group_name_H-M 'P 1'
_symmetry_Int_Tables_number 1
_symmetry_space_group_name_Hall 'P 1'
loop_
_atom_site_label
_atom_site_type_symbol
_atom_site_fract_x
_atom_site_fract_y
_atom_site_fract_z
Er1 Er 0.000 0.000 0.000
Ge1 Ge 0.667 0.333 0.500
Pt1 Pt 0.333 0.667 0.500
# N(E_F) (states/eV/atom): 0.15
# Total DFT energy (no corrections) (Ha/atom): -0.2270
# ΔE_f (eV per atom): -1.104
# Symmetry: P-6m2 (187)